# Mg2VBiO6 (PBE+U, relaxed)
# Crystal system: orthorhombic
# E above lowest polymorph: 0 meV/atom
# Theoretical density: 4868 kg/m3
data_Mg2VBiO6
_cell_length_a 12.466
_cell_length_b 5.524
_cell_length_c 8.015
_cell_angle_alpha 90.00
_cell_angle_beta 90.00
_cell_angle_gamma 90.00
_symmetry_space_group_name_H-M 'P n m a'
_symmetry_Int_Tables_number 62
loop_
_symmetry_equiv_pos_as_xyz
'x,y,z'
'-x,-y,-z'
'-x+1/2,-y,z+1/2'
'x+1/2,y,-z+1/2'
'x+1/2,-y+1/2,-z+1/2'
'-x+1/2,y+1/2,z+1/2'
'-x,y+1/2,-z'
'x,-y+1/2,z'
loop_
_atom_site_label
_atom_site_type_symbol
_atom_site_fract_x
_atom_site_fract_y
_atom_site_fract_z
_atom_site_occupancy
Mg1 Mg 0.084 0.250 0.201 1
Mg2 Mg 0.095 0.250 0.813 1
V1 V 0.199 0.750 0.022 1
Bi1 Bi 0.091 0.750 0.486 1
O1 O 0.008 0.003 0.672 1
O2 O 0.118 0.011 0.008 1
O3 O 0.204 0.250 0.370 1
O4 O 0.243 0.250 0.716 1